VASP calculation (GGA-PBE) on a geometry-optimized MgBe2Ru structure.

Cell lengths 2.894, 2.894, 6.031 Å; angles 90.00, 90.00, 90.00 degrees
Sites, in units of the cell vectors:
Mg (0.000, 0.000, 0.000)
Be (0.000, 0.000, 0.502)
Be (0.500, 0.500, 0.682)
Ru (0.500, 0.500, 0.309)

N(E_F) in states/eV/cell: 3.1
Energy in eV/atom: -4.525
Energy of formation from the pure elements in eV per atom: 0.056